(1)
{
  "formula": "Zn2Cu2Pd",
  "functional": "PBE",
  "state": "relaxed",
  "lattice_angstrom": [[-1.696, 1.696, 6.311], [1.696, -1.696, 6.311], [1.696, 1.696, -6.311]],
  "species": ["Zn", "Zn", "Cu", "Cu", "Pd"],
  "fractional_positions": [[0.100, 0.100, 0.000], [0.900, 0.900, 0.000], [0.250, 0.750, 0.500], [0.750, 0.250, 0.500], [0.500, 0.500, 0.000]],
  "rho_g_cm3": 8.3,
  "delta_e_f_ev_per_atom": -0.077,
  "crystal_system": "tetragonal"
}



(2)
{
  "formula": "YTm2Si6",
  "functional": "PBE",
  "state": "relaxed",
  "lattice_angstrom": [[7.102, 0.000, 0.000], [-3.551, 6.151, 0.000], [0.000, 0.000, 3.865]],
  "species": ["Y", "Tm", "Tm", "Si", "Si", "Si", "Si", "Si", "Si"],
  "fractional_positions": [[0.000, 0.000, 0.000], [0.333, 0.667, 0.000], [0.667, 0.333, 0.000], [0.000, 0.334, 0.500], [0.000, 0.666, 0.500], [0.334, 0.000, 0.500], [0.334, 0.334, 0.500], [0.666, 0.000, 0.500], [0.666, 0.666, 0.500]],
  "rho_g_cm3": 5.9,
  "crystal_system": "hexagonal",
  "e_form_raw_ev_per_atom": -0.4919
}



(3)
{
  "formula": "Li2Pm5Bi5",
  "functional": "PBE",
  "state": "relaxed",
  "lattice_angstrom": [[7.530, -2.252, 0.000], [7.530, 2.252, 0.000], [-5.356, 0.000, 11.352]],
  "species": ["Li", "Li", "Pm", "Pm", "Pm", "Pm", "Pm", "Bi", "Bi", "Bi", "Bi", "Bi"],
  "fractional_positions": [[0.072, 0.072, 0.287], [0.928, 0.928, 0.713], [0.284, 0.284, 0.161], [0.344, 0.344, 0.477], [0.500, 0.500, 0.000], [0.656, 0.656, 0.523], [0.716, 0.716, 0.839], [0.000, 0.000, 0.500], [0.105, 0.105, 0.913], [0.308, 0.308, 0.717], [0.692, 0.692, 0.283], [0.895, 0.895, 0.087]],
  "rho_g_cm3": 7.7,
  "delta_e_f_ev_per_atom": -0.671,
  "crystal_system": "monoclinic"
}